First-principles (PBE) data for crystalline Ac6Pm12Nd at its relaxed geometry, as listed in Alexandria.

```
Ac6Pm12Nd
1.0
7.002 4.042 4.394
-7.002 4.042 4.394
0.000 -8.085 4.394
Ac Pm Nd
6 12 1
Direct
0.165 0.605 0.605
0.395 0.395 0.835
0.395 0.835 0.395
0.605 0.165 0.605
0.605 0.605 0.165
0.835 0.395 0.395
0.000 0.252 0.748
0.000 0.748 0.252
0.145 0.145 0.425
0.145 0.425 0.145
0.252 0.000 0.748
0.252 0.748 0.000
0.425 0.145 0.145
0.575 0.855 0.855
0.748 0.000 0.252
0.748 0.252 0.000
0.855 0.575 0.855
0.855 0.855 0.575
0.500 0.500 0.500
```

Computed properties:
* calculated formation energy: 0.242 eV per atom

First-principles (PBE) data for crystalline Nd8NiSe3I4 at its relaxed geometry, as listed in Alexandria.

```
Nd8NiSe3I4
1.0
4.292 2.478 7.717
-4.292 2.478 7.717
0.000 -4.956 7.717
Nd Ni Se I
8 1 3 4
Direct
0.232 0.232 0.232
0.254 0.719 0.719
0.281 0.281 0.746
0.281 0.746 0.281
0.719 0.254 0.719
0.719 0.719 0.254
0.746 0.281 0.281
0.768 0.768 0.768
0.500 0.500 0.500
0.000 0.000 0.500
0.000 0.500 0.000
0.500 0.000 0.000
0.000 0.000 0.000
0.000 0.500 0.500
0.500 0.000 0.500
0.500 0.500 0.000
```

Computed properties:
* uncorrected formation energy: -1.190 eV/atom

First-principles (PBE) data for crystalline NaSrP2 at its relaxed geometry, as listed in Alexandria.

```
NaSrP2
1.0
7.186 0.000 0.000
0.000 7.186 0.000
0.000 0.000 7.186
Na Sr P
4 4 8
Direct
0.000 0.000 0.000
0.000 0.500 0.500
0.500 0.000 0.500
0.500 0.500 0.000
0.000 0.000 0.500
0.000 0.500 0.000
0.500 0.000 0.000
0.500 0.500 0.500
0.250 0.250 0.250
0.250 0.250 0.750
0.250 0.750 0.250
0.250 0.750 0.750
0.750 0.250 0.250
0.750 0.250 0.750
0.750 0.750 0.250
0.750 0.750 0.750
```

Computed properties:
* calculated formation energy: -0.255 eV per atom

First-principles (PBE) data for crystalline Zr6AlFe2 at its relaxed geometry, as listed in Alexandria.

```
Zr6AlFe2
1.0
-4.277 4.329 4.831
4.277 -4.329 4.831
4.277 4.329 -4.831
Zr Al Fe
12 2 4
Direct
0.031 0.233 0.798
0.184 0.299 0.483
0.184 0.701 0.885
0.326 0.021 0.695
0.326 0.631 0.305
0.435 0.233 0.202
0.565 0.767 0.798
0.674 0.369 0.695
0.674 0.979 0.305
0.816 0.299 0.115
0.816 0.701 0.517
0.969 0.767 0.202
0.000 0.000 0.000
0.500 0.500 0.000
0.136 0.636 0.500
0.328 0.000 0.328
0.672 0.000 0.672
0.864 0.364 0.500
```

Computed properties:
* calculated formation energy: -0.169 eV per atom

First-principles (PBE) data for crystalline InFe2Cl8 at its relaxed geometry, as listed in Alexandria.

```
InFe2Cl8
1.0
6.537 -4.398 0.000
6.537 4.398 0.000
-0.465 0.000 6.290
In Fe Cl
1 2 8
Direct
0.000 0.000 0.000
0.184 0.184 0.623
0.816 0.816 0.377
0.099 0.718 0.229
0.167 0.167 0.264
0.282 0.901 0.771
0.343 0.343 0.732
0.657 0.657 0.268
0.718 0.099 0.229
0.833 0.833 0.736
0.901 0.282 0.771
```

Computed properties:
* uncorrected formation energy: -0.859 eV/atom

First-principles (PBE) data for crystalline SrAuBr at its relaxed geometry, as listed in Alexandria.

```
SrAuBr
1.0
7.376 0.000 0.000
0.000 7.376 0.000
0.000 0.000 7.376
Sr Au Br
4 4 4
Direct
0.000 0.000 0.000
0.000 0.500 0.500
0.500 0.000 0.500
0.500 0.500 0.000
0.250 0.250 0.250
0.250 0.750 0.750
0.750 0.250 0.750
0.750 0.750 0.250
0.000 0.000 0.500
0.000 0.500 0.000
0.500 0.000 0.000
0.500 0.500 0.500
```

Computed properties:
* uncorrected formation energy: -0.930 eV/atom
* energy above the most stable polymorph in this dataset: 429 meV per atom

First-principles (PBE) data for crystalline Tm3TlH at its relaxed geometry, as listed in Alexandria.

```
Tm3TlH
1.0
4.778 0.000 0.000
0.000 4.778 0.000
0.000 0.000 4.778
Tm Tl H
3 1 1
Direct
0.000 0.000 0.500
0.000 0.500 0.000
0.500 0.000 0.000
0.500 0.500 0.500
0.000 0.000 0.000
```

Computed properties:
* energy above the most stable polymorph in this dataset: 72 meV per atom

First-principles (PBE) data for crystalline BaAcErIn at its relaxed geometry, as listed in Alexandria.

```
BaAcErIn
1.0
8.367 0.000 0.000
0.000 8.367 0.000
0.000 0.000 8.367
Ba Ac Er In
4 4 4 4
Direct
0.000 0.000 0.000
0.000 0.500 0.500
0.500 0.000 0.500
0.500 0.500 0.000
0.250 0.250 0.250
0.250 0.750 0.750
0.750 0.250 0.750
0.750 0.750 0.250
0.000 0.000 0.500
0.000 0.500 0.000
0.500 0.000 0.000
0.500 0.500 0.500
0.250 0.250 0.750
0.250 0.750 0.250
0.750 0.250 0.250
0.750 0.750 0.750
```

Computed properties:
* calculated formation energy: 0.078 eV per atom

First-principles (PBE) data for crystalline IrRu at its relaxed geometry, as listed in Alexandria.

```
IrRu
1.0
3.879 0.000 0.000
-1.940 3.359 0.000
0.000 0.000 6.476
Ir Ru
2 2
Direct
0.333 0.667 0.000
0.667 0.333 0.500
0.333 0.667 0.629
0.667 0.333 0.129
```

Computed properties:
* energy above the most stable polymorph in this dataset: 1093 meV per atom
* calculated formation energy: 1.038 eV per atom

First-principles (PBE) data for crystalline PmNd3Tm2Te6 at its relaxed geometry, as listed in Alexandria.

```
PmNd3Tm2Te6
1.0
9.710 -2.187 0.000
9.710 2.187 0.000
-2.249 0.000 8.680
Pm Nd Tm Te
1 3 2 6
Direct
0.000 0.000 0.000
0.000 0.000 0.500
0.339 0.339 0.169
0.661 0.661 0.831
0.335 0.335 0.671
0.665 0.665 0.329
0.169 0.169 0.095
0.172 0.172 0.574
0.494 0.494 0.748
0.506 0.506 0.252
0.828 0.828 0.426
0.831 0.831 0.905
```

Computed properties:
* uncorrected formation energy: -1.342 eV/atom

First-principles (PBE) data for crystalline IrPt2Cl at its relaxed geometry, as listed in Alexandria.

```
IrPt2Cl
1.0
2.943 0.000 0.000
-1.471 2.548 0.000
0.000 0.000 25.639
Ir Pt Cl
3 6 3
Direct
0.000 0.000 0.000
0.333 0.667 0.667
0.667 0.333 0.333
0.000 0.000 0.252
0.000 0.000 0.748
0.333 0.667 0.415
0.333 0.667 0.919
0.667 0.333 0.081
0.667 0.333 0.585
0.000 0.000 0.500
0.333 0.667 0.167
0.667 0.333 0.833
```

Computed properties:
* uncorrected formation energy: 0.369 eV/atom
* energy above the most stable polymorph in this dataset: 82 meV per atom

First-principles (PBE) data for crystalline TaOs2I at its relaxed geometry, as listed in Alexandria.

```
TaOs2I
1.0
6.580 0.000 0.000
0.000 6.580 0.000
0.000 0.000 6.580
Ta Os I
4 8 4
Direct
0.000 0.000 0.000
0.000 0.500 0.500
0.500 0.000 0.500
0.500 0.500 0.000
0.250 0.250 0.250
0.250 0.250 0.750
0.250 0.750 0.250
0.250 0.750 0.750
0.750 0.250 0.250
0.750 0.250 0.750
0.750 0.750 0.250
0.750 0.750 0.750
0.000 0.000 0.500
0.000 0.500 0.000
0.500 0.000 0.000
0.500 0.500 0.500
```

Computed properties:
* uncorrected formation energy: 1.167 eV/atom
* energy above the most stable polymorph in this dataset: 0 meV per atom

First-principles (PBE) data for crystalline La4Nd2C at its relaxed geometry, as listed in Alexandria.

```
La4Nd2C
1.0
5.166 0.000 0.000
0.000 5.166 0.000
0.000 0.000 18.030
La Nd C
8 4 2
Direct
0.000 0.000 0.138
0.000 0.000 0.862
0.000 0.500 0.000
0.000 0.500 0.500
0.500 0.000 0.000
0.500 0.000 0.500
0.500 0.500 0.362
0.500 0.500 0.638
0.000 0.000 0.323
0.000 0.000 0.677
0.500 0.500 0.177
0.500 0.500 0.823
0.000 0.000 0.000
0.500 0.500 0.500
```

Computed properties:
* calculated formation energy: 0.157 eV per atom

First-principles (PBE) data for crystalline MgCd2Tc at its relaxed geometry, as listed in Alexandria.

```
MgCd2Tc
1.0
6.649 0.000 0.000
0.000 6.649 0.000
0.000 0.000 6.649
Mg Cd Tc
4 8 4
Direct
0.000 0.000 0.000
0.000 0.500 0.500
0.500 0.000 0.500
0.500 0.500 0.000
0.000 0.000 0.500
0.000 0.500 0.000
0.250 0.250 0.750
0.250 0.750 0.250
0.500 0.000 0.000
0.500 0.500 0.500
0.750 0.250 0.250
0.750 0.750 0.750
0.250 0.250 0.250
0.250 0.750 0.750
0.750 0.250 0.750
0.750 0.750 0.250
```

Computed properties:
* calculated formation energy: 0.364 eV per atom

First-principles (PBE) data for crystalline Ce3DyY3S8 at its relaxed geometry, as listed in Alexandria.

```
Ce3DyY3S8
1.0
3.946 2.278 6.551
-3.946 2.278 6.551
0.000 -4.557 6.551
Ce Dy Y S
3 1 3 8
Direct
0.000 0.500 0.500
0.500 0.000 0.500
0.500 0.500 0.000
0.500 0.500 0.500
0.000 0.000 0.500
0.000 0.500 0.000
0.500 0.000 0.000
0.246 0.246 0.246
0.246 0.747 0.747
0.253 0.253 0.754
0.253 0.754 0.253
0.747 0.246 0.747
0.747 0.747 0.246
0.754 0.253 0.253
0.754 0.754 0.754
```

Computed properties:
* uncorrected formation energy: -2.052 eV/atom

First-principles (PBE) data for crystalline TlClF2 at its relaxed geometry, as listed in Alexandria.

```
TlClF2
1.0
9.880 0.000 0.000
0.000 6.176 0.000
-3.345 0.000 5.314
Tl Cl F
4 4 8
Direct
0.000 0.232 0.000
0.000 0.768 0.500
0.500 0.268 0.500
0.500 0.732 0.000
0.093 0.385 0.723
0.093 0.615 0.223
0.593 0.115 0.223
0.593 0.885 0.723
0.254 0.135 0.279
0.254 0.865 0.779
0.441 0.439 0.743
0.441 0.561 0.243
0.754 0.365 0.779
0.754 0.635 0.279
0.941 0.061 0.243
0.941 0.939 0.743
```

Computed properties:
* uncorrected formation energy: -1.394 eV/atom
* energy above the most stable polymorph in this dataset: 2 meV per atom

First-principles (PBE) data for crystalline TaRe2Pt at its relaxed geometry, as listed in Alexandria.

```
TaRe2Pt
1.0
2.814 0.000 0.000
0.000 2.814 0.000
0.000 0.000 8.042
Ta Re Pt
1 2 1
Direct
0.000 0.000 0.000
0.000 0.000 0.515
0.500 0.500 0.738
0.500 0.500 0.259
```

Computed properties:
* energy above the most stable polymorph in this dataset: 86 meV per atom
* calculated formation energy: -0.192 eV per atom

First-principles (PBE) data for crystalline MgCoSe2 at its relaxed geometry, as listed in Alexandria.

```
MgCoSe2
1.0
6.581 0.000 0.000
0.000 6.581 0.000
0.000 0.000 6.581
Mg Co Se
4 4 8
Direct
0.000 0.000 0.000
0.000 0.500 0.500
0.500 0.000 0.500
0.500 0.500 0.000
0.250 0.250 0.750
0.250 0.750 0.250
0.750 0.250 0.250
0.750 0.750 0.750
0.000 0.000 0.500
0.000 0.500 0.000
0.250 0.250 0.250
0.250 0.750 0.750
0.500 0.000 0.000
0.500 0.500 0.500
0.750 0.250 0.750
0.750 0.750 0.250
```

Computed properties:
* uncorrected formation energy: 0.346 eV/atom
* energy above the most stable polymorph in this dataset: 870 meV per atom

First-principles (PBE) data for crystalline AcLa2Y4 at its relaxed geometry, as listed in Alexandria.

```
AcLa2Y4
1.0
6.980 0.000 0.000
3.489 8.505 0.000
3.490 -0.407 8.522
Ac La Y
2 4 8
Direct
0.000 0.000 0.000
0.481 0.074 0.964
0.000 0.558 0.447
0.127 0.537 0.981
0.486 0.516 0.517
0.623 0.036 0.482
0.092 0.182 0.342
0.099 0.891 0.621
0.145 0.292 0.728
0.203 0.783 0.237
0.618 0.394 0.129
0.621 0.680 0.835
0.647 0.781 0.235
0.704 0.291 0.726
```

Computed properties:
* energy above the most stable polymorph in this dataset: 24 meV per atom
* calculated formation energy: 0.194 eV per atom

First-principles (PBE) data for crystalline La2Pm2Ho7 at its relaxed geometry, as listed in Alexandria.

```
La2Pm2Ho7
1.0
5.670 -5.828 0.000
5.670 5.828 0.000
-2.485 0.000 5.603
La Pm Ho
2 2 7
Direct
0.100 0.100 0.313
0.900 0.900 0.687
0.290 0.710 0.000
0.710 0.290 0.000
0.088 0.566 0.322
0.270 0.270 0.927
0.434 0.912 0.678
0.500 0.500 0.500
0.566 0.088 0.322
0.730 0.730 0.073
0.912 0.434 0.678
```

Computed properties:
* energy above the most stable polymorph in this dataset: 0 meV per atom
* calculated formation energy: 0.149 eV per atom